[1]
Density functional theory data (PBE-GGA) for an optimized crystal structure of EuPuPdPb.

Properties
- symmetry = F-43m
- DFT formation energy (eV/f.u.) = -1.14

Cell and atoms, written as CIF:
```
data_EuPuPdPb
_cell_length_a 5.3324
_cell_length_b 5.3324
_cell_length_c 5.3324
_cell_angle_alpha 60.00
_cell_angle_beta 60.00
_cell_angle_gamma 60.00
_space_group_name_H-M_alt 'P 1'
_space_group_IT_number 1
loop_
_space_group_symop_operation_xyz
'x,y,z'
loop_
_atom_site_label
_atom_site_type_symbol
_atom_site_fract_x
_atom_site_fract_y
_atom_site_fract_z
Pb1 Pb 0.5000 0.5000 0.5000
Pd1 Pd 0.0000 0.0000 0.0000
Pu1 Pu 0.2500 0.2500 0.2500
Eu1 Eu 0.7500 0.7500 0.7500
```

=====

[2]
Density functional theory data (PBE-GGA) for an optimized crystal structure of Cs2AgBr5.

Properties
- symmetry = I4mm
- energy relative to the elements, uncorrected (meV per atom) = -993

Cell and atoms, written as CIF:
```
data_Cs2AgBr5
_cell_length_a 7.5497
_cell_length_b 7.5497
_cell_length_c 7.5497
_cell_angle_alpha 97.04
_cell_angle_beta 116.02
_cell_angle_gamma 116.02
_space_group_name_H-M_alt 'P 1'
_space_group_IT_number 1
loop_
_space_group_symop_operation_xyz
'x,y,z'
loop_
_atom_site_label
_atom_site_type_symbol
_atom_site_fract_x
_atom_site_fract_y
_atom_site_fract_z
Cs1 Cs 0.5000 0.2660 0.7660
Cs2 Cs 0.5000 0.7660 0.2660
Br1 Br 0.4492 0.2440 0.2440
Br2 Br 0.5508 0.7948 0.7948
Br3 Br 0.0000 0.7948 0.2440
Br4 Br 0.0000 0.2440 0.7948
Br5 Br 0.0000 0.6771 0.6771
Ag1 Ag 0.0000 0.9912 0.9912
```

=====

[3]
Density functional theory data (PBE-GGA) for an optimized crystal structure of CeDy2Y12.

Properties
- symmetry = P4/nbm
- DFT formation energy (eV/f.u.) = 5.39

Cell and atoms, written as CIF:
```
data_CeDy2Y12
_cell_length_a 6.4383
_cell_length_b 6.4383
_cell_length_c 25.1923
_cell_angle_alpha 90.00
_cell_angle_beta 90.00
_cell_angle_gamma 90.00
_space_group_name_H-M_alt 'P 1'
_space_group_IT_number 1
loop_
_space_group_symop_operation_xyz
'x,y,z'
loop_
_atom_site_label
_atom_site_type_symbol
_atom_site_fract_x
_atom_site_fract_y
_atom_site_fract_z
Y1 Y 0.1826 0.3174 0.1161
Y2 Y 0.5000 0.5000 0.3393
Y3 Y 0.0000 0.0000 0.7840
Y4 Y 0.6686 0.1686 0.4389
Y5 Y 0.3174 0.1826 0.8839
Y6 Y 0.5000 0.5000 0.2160
Y7 Y 0.5000 0.5000 0.6607
Y8 Y 0.3174 0.8174 0.1161
Y9 Y 0.8314 0.6686 0.4389
Y10 Y 0.6826 0.8174 0.8839
Y11 Y 0.5000 0.5000 0.7840
Y12 Y 0.8314 0.3314 0.5611
Y13 Y 0.1686 0.3314 0.4389
Y14 Y 0.0000 0.0000 0.6607
Y15 Y 0.6826 0.1826 0.1161
Y16 Y 0.8174 0.3174 0.8839
Y17 Y 0.0000 0.0000 0.2160
Y18 Y 0.1826 0.6826 0.8839
Y19 Y 0.3314 0.1686 0.5611
Y20 Y 0.1686 0.6686 0.5611
Y21 Y 0.8174 0.6826 0.1161
Y22 Y 0.0000 0.0000 0.3393
Y23 Y 0.3314 0.8314 0.4389
Y24 Y 0.6686 0.8314 0.5611
Dy1 Dy 0.0000 0.5000 0.2753
Dy2 Dy 0.5000 0.0000 0.2753
Dy3 Dy 0.0000 0.5000 0.7247
Dy4 Dy 0.5000 0.0000 0.7247
Ce1 Ce 0.0000 0.5000 0.0000
Ce2 Ce 0.5000 0.0000 0.0000
```

=====

[4]
Density functional theory data (PBE-GGA) for an optimized crystal structure of FeB2I2.

Properties
- offset from the most stable computed form (kcal/mol of atoms) = 6.870
- symmetry = P4/mbm
- energy relative to the elements, uncorrected (meV per atom) = 1955

Cell and atoms, written as CIF:
```
data_FeB2I2
_cell_length_a 7.1933
_cell_length_b 7.1933
_cell_length_c 3.4500
_cell_angle_alpha 90.00
_cell_angle_beta 90.00
_cell_angle_gamma 90.00
_space_group_name_H-M_alt 'P 1'
_space_group_IT_number 1
loop_
_space_group_symop_operation_xyz
'x,y,z'
loop_
_atom_site_label
_atom_site_type_symbol
_atom_site_fract_x
_atom_site_fract_y
_atom_site_fract_z
Fe1 Fe 0.0000 0.0000 0.0000
Fe2 Fe 0.5000 0.5000 0.0000
I1 I 0.8290 0.6710 0.0000
I2 I 0.1710 0.3290 0.0000
I3 I 0.6710 0.1710 0.0000
I4 I 0.3290 0.8290 0.0000
B1 B 0.8232 0.3232 0.5000
B2 B 0.1768 0.6768 0.5000
B3 B 0.6768 0.8232 0.5000
B4 B 0.3232 0.1768 0.5000
```

=====

[5]
Density functional theory data (PBE-GGA) for an optimized crystal structure of InAs3Pt.

Properties
- offset from the most stable computed form (kcal/mol of atoms) = 0.000
- symmetry = Pm-3m
- DFT formation energy (eV/f.u.) = 2.38

Cell and atoms, written as CIF:
```
data_InAs3Pt
_cell_length_a 4.9819
_cell_length_b 4.9819
_cell_length_c 4.9819
_cell_angle_alpha 90.00
_cell_angle_beta 90.00
_cell_angle_gamma 90.00
_space_group_name_H-M_alt 'P 1'
_space_group_IT_number 1
loop_
_space_group_symop_operation_xyz
'x,y,z'
loop_
_atom_site_label
_atom_site_type_symbol
_atom_site_fract_x
_atom_site_fract_y
_atom_site_fract_z
In1 In 0.5000 0.5000 0.5000
As1 As 0.5000 0.0000 0.0000
As2 As 0.0000 0.0000 0.5000
As3 As 0.0000 0.5000 0.0000
Pt1 Pt 0.0000 0.0000 0.0000
```

=====

[6]
Density functional theory data (PBE-GGA) for an optimized crystal structure of DyY3Er3Te8.

Properties
- symmetry = R-3m
- energy relative to the elements, uncorrected (meV per atom) = -1351

Cell and atoms, written as CIF:
```
data_DyY3Er3Te8
_cell_length_a 8.6542
_cell_length_b 8.6541
_cell_length_c 8.6539
_cell_angle_alpha 120.00
_cell_angle_beta 90.00
_cell_angle_gamma 120.00
_space_group_name_H-M_alt 'P 1'
_space_group_IT_number 1
loop_
_space_group_symop_operation_xyz
'x,y,z'
loop_
_atom_site_label
_atom_site_type_symbol
_atom_site_fract_x
_atom_site_fract_y
_atom_site_fract_z
Te1 Te 0.2561 0.5121 0.7535
Te2 Te 0.7439 0.4879 0.2465
Te3 Te 0.7414 0.9975 0.7535
Te4 Te 0.7440 0.0025 0.2465
Te5 Te 0.2513 0.5025 0.2538
Te6 Te 0.2560 0.9975 0.7535
Te7 Te 0.7487 0.4975 0.7462
Te8 Te 0.2586 0.0025 0.2465
Er1 Er 0.5000 0.5000 0.5000
Er2 Er 0.5000 0.0000 0.5000
Er3 Er 0.0000 0.5000 0.5000
Y1 Y 0.5000 0.5000 0.0000
Y2 Y 0.0000 0.0000 0.0000
Y3 Y 0.0000 0.5000 0.0000
Dy1 Dy 0.0000 0.0000 0.5000
```

=====

[7]
Density functional theory data (PBE-GGA) for an optimized crystal structure of SrNdIn.

Properties
- offset from the most stable computed form (kcal/mol of atoms) = 2.212
- symmetry = I4/mmm
- DFT formation energy (eV/f.u.) = -0.72

Cell and atoms, written as CIF:
```
data_SrNdIn
_cell_length_a 3.9406
_cell_length_b 3.9406
_cell_length_c 14.6859
_cell_angle_alpha 97.71
_cell_angle_beta 97.71
_cell_angle_gamma 90.00
_space_group_name_H-M_alt 'P 1'
_space_group_IT_number 1
loop_
_space_group_symop_operation_xyz
'x,y,z'
loop_
_atom_site_label
_atom_site_type_symbol
_atom_site_fract_x
_atom_site_fract_y
_atom_site_fract_z
Nd1 Nd 0.2906 0.2906 0.5811
Nd2 Nd 0.7094 0.7094 0.4189
In1 In 0.8536 0.8536 0.7071
In2 In 0.1464 0.1464 0.2929
Sr1 Sr 0.4285 0.4285 0.8570
Sr2 Sr 0.5715 0.5715 0.1430
```

=====

[8]
Density functional theory data (PBE-GGA) for an optimized crystal structure of TaCo2Ni.

Properties
- offset from the most stable computed form (kcal/mol of atoms) = 10.767
- symmetry = R3m
- DFT formation energy (eV/f.u.) = 0.74

Cell and atoms, written as CIF:
```
data_TaCo2Ni
_cell_length_a 8.5988
_cell_length_b 8.5988
_cell_length_c 8.5988
_cell_angle_alpha 17.84
_cell_angle_beta 17.84
_cell_angle_gamma 17.84
_space_group_name_H-M_alt 'P 1'
_space_group_IT_number 1
loop_
_space_group_symop_operation_xyz
'x,y,z'
loop_
_atom_site_label
_atom_site_type_symbol
_atom_site_fract_x
_atom_site_fract_y
_atom_site_fract_z
Co1 Co 0.9930 0.9930 0.9930
Co2 Co 0.2514 0.2514 0.2514
Ni1 Ni 0.5051 0.5051 0.5051
Ta1 Ta 0.7505 0.7505 0.7505
```

=====

[9]
Density functional theory data (PBE-GGA) for an optimized crystal structure of Mg4Si3.

Properties
- offset from the most stable computed form (kcal/mol of atoms) = 2.038
- symmetry = P1
- energy relative to the elements, uncorrected (meV per atom) = 56

Cell and atoms, written as CIF:
```
data_Mg4Si3
_cell_length_a 6.6189
_cell_length_b 7.0157
_cell_length_c 12.8297
_cell_angle_alpha 100.81
_cell_angle_beta 91.91
_cell_angle_gamma 104.12
_space_group_name_H-M_alt 'P 1'
_space_group_IT_number 1
loop_
_space_group_symop_operation_xyz
'x,y,z'
loop_
_atom_site_label
_atom_site_type_symbol
_atom_site_fract_x
_atom_site_fract_y
_atom_site_fract_z
Si1 Si 0.8405 0.2020 0.0873
Si2 Si 0.2889 0.6115 0.0010
Si3 Si 0.0815 0.1053 0.6209
Si4 Si 0.3312 0.2693 0.9741
Si5 Si 0.6562 0.2082 0.7239
Si6 Si 0.2567 0.5466 0.4757
Si7 Si 0.7467 0.5180 0.3590
Si8 Si 0.7235 0.0312 0.5518
Si9 Si 0.1938 0.1834 0.1362
Si10 Si 0.9310 0.5438 0.0494
Si11 Si 0.2944 0.6798 0.8187
Si12 Si 0.6405 0.6552 0.5299
Mg1 Mg 0.5209 0.8132 0.3574
Mg2 Mg 0.6441 0.5359 0.8852
Mg3 Mg 0.3689 0.2263 0.3509
Mg4 Mg 0.8908 0.2050 0.3890
Mg5 Mg 0.0416 0.3009 0.8321
Mg6 Mg 0.5687 0.4789 0.1587
Mg7 Mg 0.5864 0.0347 0.9007
Mg8 Mg 0.9404 0.8742 0.2092
Mg9 Mg 0.8278 0.8516 0.7284
Mg10 Mg 0.3301 0.8779 0.6569
Mg11 Mg 0.4845 0.9519 0.1466
Mg12 Mg 0.4083 0.4182 0.6552
Mg13 Mg 0.1068 0.5166 0.2521
Mg14 Mg 0.0781 0.8494 0.4396
Mg15 Mg 0.0451 0.8998 0.9472
Mg16 Mg 0.9536 0.4682 0.6271
```

=====

[10]
Density functional theory data (PBE-GGA) for an optimized crystal structure of LaZrCd2Si.

Properties
- offset from the most stable computed form (kcal/mol of atoms) = 0.000
- symmetry = P4/mmm
- energy relative to the elements, uncorrected (meV per atom) = 204

Cell and atoms, written as CIF:
```
data_LaZrCd2Si
_cell_length_a 5.3981
_cell_length_b 5.0527
_cell_length_c 5.3981
_cell_angle_alpha 90.00
_cell_angle_beta 90.00
_cell_angle_gamma 90.00
_space_group_name_H-M_alt 'P 1'
_space_group_IT_number 1
loop_
_space_group_symop_operation_xyz
'x,y,z'
loop_
_atom_site_label
_atom_site_type_symbol
_atom_site_fract_x
_atom_site_fract_y
_atom_site_fract_z
La1 La 0.5000 0.5000 0.5000
Cd1 Cd 0.0000 0.0000 0.5000
Cd2 Cd 0.5000 0.0000 0.0000
Si1 Si 0.0000 0.5000 0.0000
Zr1 Zr 0.0000 0.0000 0.0000
```

=====

[11]
Density functional theory data (PBE-GGA) for an optimized crystal structure of AlRe2Sn.

Properties
- offset from the most stable computed form (kcal/mol of atoms) = 4.124
- symmetry = I-42d
- DFT formation energy (eV/f.u.) = 2.14

Cell and atoms, written as CIF:
```
data_AlRe2Sn
_cell_length_a 4.0785
_cell_length_b 4.0785
_cell_length_c 9.6418
_cell_angle_alpha 77.79
_cell_angle_beta 77.79
_cell_angle_gamma 90.00
_space_group_name_H-M_alt 'P 1'
_space_group_IT_number 1
loop_
_space_group_symop_operation_xyz
'x,y,z'
loop_
_atom_site_label
_atom_site_type_symbol
_atom_site_fract_x
_atom_site_fract_y
_atom_site_fract_z
Re1 Re 0.3750 0.4589 0.7500
Re2 Re 0.5411 0.1250 0.2500
Re3 Re 0.8750 0.7911 0.7500
Re4 Re 0.2089 0.6250 0.2500
Al1 Al 0.2500 0.7500 0.5000
Al2 Al 0.5000 0.5000 0.0000
Sn1 Sn 0.7500 0.2500 0.5000
Sn2 Sn 0.0000 0.0000 0.0000
```

=====

[12]
Density functional theory data (PBE-GGA) for an optimized crystal structure of AcMg2InPb2.

Properties
- symmetry = Pnnm
- DFT formation energy (eV/f.u.) = -1.46

Cell and atoms, written as CIF:
```
data_AcMg2InPb2
_cell_length_a 5.1423
_cell_length_b 9.3135
_cell_length_c 7.3065
_cell_angle_alpha 90.00
_cell_angle_beta 90.00
_cell_angle_gamma 90.00
_space_group_name_H-M_alt 'P 1'
_space_group_IT_number 1
loop_
_space_group_symop_operation_xyz
'x,y,z'
loop_
_atom_site_label
_atom_site_type_symbol
_atom_site_fract_x
_atom_site_fract_y
_atom_site_fract_z
In1 In 0.5000 0.5000 0.5000
In2 In 0.0000 0.0000 0.0000
Ac1 Ac 0.5000 0.5000 0.0000
Ac2 Ac 0.0000 0.0000 0.5000
Pb1 Pb 0.0000 0.3259 0.2553
Pb2 Pb 0.5000 0.8259 0.2447
Pb3 Pb 0.5000 0.1741 0.7553
Pb4 Pb 0.0000 0.6741 0.7447
Mg1 Mg 0.5000 0.8496 0.8135
Mg2 Mg 0.0000 0.3496 0.6865
Mg3 Mg 0.5000 0.1504 0.1865
Mg4 Mg 0.0000 0.6504 0.3135
```